(1)
First-principles (PBE) data for an optimized crystal structure of NdInPd6, as listed in Alexandria via LeMat-Bulk.

The structure in extended XYZ format:
```
8
Lattice="4.141 0.000 0.000 0.000 4.141 0.000 0.000 0.000 8.184" Properties=species:S:1:pos:R:3 pbc="T T T"
Pd 2.070 0.000 1.944
Pd 2.070 2.070 4.092
Pd 2.070 0.000 6.240
In 0.000 0.000 0.000
Pd 0.000 2.070 1.944
Nd 0.000 0.000 4.092
Pd 0.000 2.070 6.240
Pd 2.070 2.070 0.000
```

Computed properties:
E above lowest polymorph: 0.000 eV/f.u.
SG: P4/mmm (123)
formation enthalpy at 0 K: -0.597 eV per atom
crystal system: tetragonal

(2)
First-principles (PBE) data for an optimized crystal structure of Er6Hg2Au, as listed in Alexandria via LeMat-Bulk.

The structure in extended XYZ format:
```
18
Lattice="-0.329 6.293 -0.919 -1.316 -1.198 -7.738 -9.929 -0.529 1.770" Properties=species:S:1:pos:R:3 pbc="T T T"
Er -3.461 3.361 -3.635
Au -0.822 2.547 -4.328
Hg -8.576 2.144 -6.118
Er -8.113 1.205 -3.251
Er -1.811 1.143 -6.741
Er -4.880 0.316 -2.018
Hg -2.998 2.422 -0.768
Er -6.694 4.250 -4.869
Er -10.531 4.042 -4.635
Er -7.723 0.440 0.875
Hg -8.494 4.971 -2.496
Er -9.763 3.422 -0.145
Er -1.043 0.524 -2.252
Er -5.502 1.068 -5.651
Er -3.851 4.125 -7.761
Au -4.965 -0.264 0.885
Hg -3.080 -0.405 -4.390
Er -6.072 3.497 -1.235
```

Computed properties:
SG: P2_1/c (14)
formation enthalpy at 0 K: -0.299 eV per atom
crystal system: monoclinic

(3)
First-principles (PBE) data for an optimized crystal structure of NaYNb2V, as listed in Alexandria via LeMat-Bulk.

The structure in extended XYZ format:
```
5
Lattice="-4.470 1.164 -1.775 -1.578 -4.448 1.059 -1.378 1.558 4.490" Properties=species:S:1:pos:R:3 pbc="T T T"
Nb -0.689 0.779 2.245
Na -0.789 -2.224 0.530
Nb -2.235 0.582 -0.888
Y 0.000 0.000 0.000
V -3.713 -0.863 1.887
```

Computed properties:
SG: P4/mmm (123)
formation enthalpy at 0 K: 2.188 eV per atom
crystal system: tetragonal

(4)
First-principles (PBE) data for an optimized crystal structure of MnZnSb2, as listed in Alexandria via LeMat-Bulk.

The structure in extended XYZ format:
```
4
Lattice="-0.256 0.549 5.969 1.576 -4.400 3.763 2.026 2.908 -4.841" Properties=species:S:1:pos:R:3 pbc="T T T"
Zn 0.660 -1.925 4.866
Mn 1.215 0.766 2.997
Sb 2.131 -1.708 1.894
Sb 0.000 0.000 0.000
```

Computed properties:
formation energy without anion corrections: 0.260 eV per atom
SG: I-4m2 (119)
crystal system: tetragonal

> Which formula does entry 2 have?

Er6Hg2Au